Entry from Alexandria: Tl5BiAu4 after structural relaxation (PBE-GGA).

a b c (Å): 17.019 4.175 7.960
angles (deg): 90.00 102.83 90.00
Space group C2/m (No. 12)
Inequivalent atoms, fractional coordinates:
1 Tl 0.000 0.000 0.000 [2 per cell]
2 Tl 0.179 0.500 0.086 [4 per cell]
3 Tl 0.185 0.500 0.576 [4 per cell]
4 Bi 0.000 0.000 0.500 [2 per cell]
5 Au 0.043 0.500 0.270 [4 per cell]
6 Au 0.139 0.000 0.809 [4 per cell]

Entry from Alexandria: TlBiAu2 after structural relaxation (PBE-GGA).

a b c (Å): 5.474 5.474 3.244
angles (deg): 90.00 90.00 90.00
Space group P4/mmm (No. 123)
Inequivalent atoms, fractional coordinates:
1 Tl 0.000 0.000 0.000 [1 per cell]
2 Bi 0.500 0.500 0.000 [1 per cell]
3 Au 0.000 0.500 0.500 [2 per cell]

Entry from Alexandria: Tl3Bi5Au3 after structural relaxation (PBE-GGA).

a b c (Å): 10.3723 10.3723 3.5359
angles (deg): 90.00 90.00 120.00
Space group P-62m (No. 189)
Inequivalent atoms, fractional coordinates:
1 Tl 0.0000 0.3178 0.0000 [3 per cell]
2 Bi 0.0000 0.8079 0.5000 [3 per cell]
3 Bi 0.3333 0.6667 0.5000 [2 per cell]
4 Au 0.0000 0.5390 0.5000 [3 per cell]

Number 1: DFT total energy -2.896 eV/atom, total moment 0.00 μB/f.u., calculated volume 27.6 A^3/atom. Number 2: DFT total energy -3.155 eV/atom, total moment 0.00 μB/f.u., calculated volume 24.3 A^3/atom. Number 3: DFT total energy -3.236 eV/atom, total moment 0.00 μB/f.u., calculated volume 29.9 A^3/atom.